1.
A relaxed structure of Rb3TlCr2F9, computed with PBE with a Hubbard U.

Cell and atoms, written as CIF:
```
data_Rb3TlCr2F9
_chemical_formula_sum 'Rb3 Tl1 Cr2 F9'
_symmetry_space_group_name_H-M 'P -3 m 1'
_symmetry_Int_Tables_number 164
_symmetry_space_group_name_Hall '-P 3 2"'
_cell_length_a 6.1414
_cell_length_b 6.1414
_cell_length_c 8.2569
_cell_angle_alpha 90.00
_cell_angle_beta 90.00
_cell_angle_gamma 120.00
loop_
_atom_site_label
_atom_site_type_symbol
_atom_site_fract_x
_atom_site_fract_y
_atom_site_fract_z
Rb1 Rb 0.0000 0.0000 0.0000
Rb2 Rb 0.3333 0.6667 0.6924
Tl1 Tl 0.0000 0.0000 0.5000
Cr1 Cr 0.3333 0.6667 0.1408
F1 F 0.0000 0.5000 0.0000
F2 F 0.1801 0.3602 0.2774
```

Properties
VASP energy = -5.0630 eV/atom
Total moment = 7.0 μB per formula unit



2.
A relaxed structure of La5W2O12, computed with PBE with a Hubbard U.

Cell and atoms, written as CIF:
```
data_La5W2O12
_chemical_formula_sum 'La10 W4 O24'
_symmetry_space_group_name_H-M 'C 1 2/m 1'
_symmetry_Int_Tables_number 12
_cell_length_a 13.0794
_cell_length_b 5.9626
_cell_length_c 8.0353
_cell_angle_alpha 90.00
_cell_angle_beta 107.94
_cell_angle_gamma 90.00
loop_
_symmetry_equiv_pos_as_xyz
'x,y,z'
'-x,-y,-z'
'-x,y,-z'
'x,-y,z'
'x+1/2,y+1/2,z'
'-x+1/2,-y+1/2,-z'
'-x+1/2,y+1/2,-z'
'x+1/2,-y+1/2,z'
loop_
_atom_site_label
_atom_site_type_symbol
_atom_site_fract_x
_atom_site_fract_y
_atom_site_fract_z
La1 La 0.0000 0.0000 0.0000
La2 La 0.1871 0.5000 0.3279
La3 La 0.1911 0.5000 0.8579
W1 W 0.0000 0.2170 0.5000
O1 O 0.9998 0.5000 0.3329
O2 O 0.0012 0.0000 0.6988
O3 O 0.1571 0.2512 0.0789
O4 O 0.1579 0.2508 0.5774
```

Properties
VASP energy = -8.1944 eV/atom
Total moment = 1.0 μB per formula unit